This record from OQMD describes ZrNi2Sn after structural relaxation. The functional is PBE-GGA.

For the final energy, the calculation gives -24.4 eV/f.u. The crystal system is cubic.

Lattice parameters (Å, degrees): 4.507 4.507 4.507 60.00 60.00 60.00
Fractional positions:
Ni (0.750, 0.750, 0.750)
Zr (0.250, 0.250, 0.250)
Ni (0.000, 0.000, 0.000)
Sn (0.500, 0.500, 0.500)

---

This record from OQMD describes Zr5Ni2Sn after structural relaxation. The functional is PBE-GGA.

For the final energy, the calculation gives -60.0 eV/f.u. The crystal system is orthorhombic.

Lattice parameters (Å, degrees): 4.154 6.235 6.235 77.58 90.00 90.00
Fractional positions:
Zr (0.500, 0.836, 0.416)
Zr (0.500, 0.416, 0.836)
Ni (0.500, 0.295, 0.295)
Sn (0.000, 0.110, 0.110)
Ni (0.000, 0.683, 0.683)
Zr (0.000, 0.185, 0.590)
Zr (0.000, 0.590, 0.185)
Zr (0.500, 0.883, 0.883)

---

This record from OQMD describes SrNi3 after structural relaxation. The functional is PBE-GGA.

For the final energy, the calculation gives -17.7 eV/f.u. The crystal system is hexagonal.

Lattice parameters (Å, degrees): 6.450 6.450 4.073 90.00 90.00 120.00
Fractional positions:
Ni (0.123, 0.877, 0.250)
Ni (0.123, 0.246, 0.250)
Ni (0.246, 0.123, 0.750)
Sr (0.667, 0.333, 0.250)
Sr (0.333, 0.667, 0.750)
Ni (0.877, 0.123, 0.750)
Ni (0.877, 0.754, 0.750)
Ni (0.754, 0.877, 0.250)

---

This record from OQMD describes SrNi after structural relaxation. The functional is PBE-GGA.

For the final energy, the calculation gives -5.8 eV/f.u. The crystal system is hexagonal.

Lattice parameters (Å, degrees): 4.535 4.535 7.403 90.00 90.00 120.00
Fractional positions:
Sr (0.333, 0.667, 0.875)
Sr (0.000, 0.000, 0.375)
Ni (0.000, 0.000, 0.000)
Ni (0.333, 0.667, 0.500)

---

This record from OQMD describes SrNi after structural relaxation. The functional is PBE-GGA.

For the final energy, the calculation gives -6.6 eV/f.u. The crystal system is cubic.

Lattice parameters (Å, degrees): 4.246 4.246 4.246 60.00 60.00 60.00
Fractional positions:
Ni (0.000, 0.000, 0.000)
Sr (0.500, 0.500, 0.500)

---

This record from OQMD describes SrNi2 after structural relaxation. The functional is PBE-GGA.

For the final energy, the calculation gives -9.6 eV/f.u. The crystal system is tetragonal.

Lattice parameters (Å, degrees): 5.074 5.074 5.259 90.00 90.00 90.00
Fractional positions:
Ni (0.653, 0.653, 0.000)
Sr (0.000, 0.000, 0.000)
Ni (0.347, 0.347, 0.000)
Sr (0.500, 0.500, 0.500)
Ni (0.153, 0.847, 0.500)
Ni (0.847, 0.153, 0.500)

---

This record from OQMD describes SrTa2Ni after structural relaxation. The functional is PBE-GGA.

For the final energy, the calculation gives -27.5 eV/f.u. The crystal system is cubic.

Lattice parameters (Å, degrees): 4.790 4.790 4.790 60.00 60.00 60.00
Fractional positions:
Sr (0.500, 0.500, 0.500)
Ni (0.250, 0.250, 0.250)
Ta (0.000, 0.000, 0.000)
Ta (0.750, 0.750, 0.750)

---

This record from OQMD describes SrTc2Ni after structural relaxation. The functional is PBE-GGA.

For the final energy, the calculation gives -24.9 eV/f.u. The crystal system is cubic.

Lattice parameters (Å, degrees): 4.576 4.576 4.576 60.00 60.00 60.00
Fractional positions:
Tc (0.750, 0.750, 0.750)
Tc (0.000, 0.000, 0.000)
Ni (0.250, 0.250, 0.250)
Sr (0.500, 0.500, 0.500)